Entry from the Alexandria database: crystalline Ce2TiSb3 at its relaxed geometry (PBE).

Properties
* DOS at the Fermi energy: 12.81 states/eV per cell
* energy: -5.974 eV per atom
* formation energy from raw total energies: -0.619 eV/atom
* theoretical density: 6.6 g/cm3
* space group: Immm
* total magnetic moment: 2.4 μB per cell
* crystal system: orthorhombic

Cell: 4.0582 5.1765 8.9722 Å, 106.77 103.07 90.00°
With the nearest neighbours (Å) after each atom.
Element x y z (fractional)
Ce 0.6463 0.6463 0.2927  7 Sb 3.12-3.31
Ce 0.3537 0.3537 0.7073  7 Sb 3.12-3.31
Ti 0.0000 0.0000 0.0000  4 Sb 2.59-2.78
Sb 0.0000 0.5000 0.0000  2 Ti 2.59
Sb 0.8334 0.8334 0.6668  1 Ti 2.78
Sb 0.1666 0.1666 0.3332  1 Ti 2.78

---

Entry from the Alexandria database: crystalline SmGdYIn at its relaxed geometry (PBE).

Properties
* DOS at the Fermi energy: 6.46 states/eV per cell
* energy: -7.166 eV per atom
* theoretical density: 7.2 g/cm3
* space group: F-43m
* total magnetic moment: 8.4 μB per cell
* crystal system: cubic
* formation energy: -64 kJ/mol of formula units

Cell: 5.4941 5.4941 5.4941 Å, 60.00 60.00 60.00°
With the nearest neighbours (Å) after each atom.
Element x y z (fractional)
Y 0.7500 0.7500 0.7500  4 Gd 3.36, 4 In 3.36
Gd 0.5000 0.5000 0.5000  4 Y 3.36, 4 Sm 3.36
Sm 0.2500 0.2500 0.2500  4 Gd 3.36, 4 In 3.36
In 0.0000 0.0000 0.0000  4 Sm 3.36, 4 Y 3.36

---

Entry from the Alexandria database: crystalline Ho2Zn2FeNi5 at its relaxed geometry (PBE).

Properties
* DOS at the Fermi energy: 12.21 states/eV per cell
* energy: -5.105 eV per atom
* theoretical density: 9.0 g/cm3
* space group: P4/mbm
* total magnetic moment: 6.9 μB per cell
* crystal system: tetragonal
* formation energy: -190 kJ/mol of formula units

Cell: 3.4807 9.2422 9.2422 Å, 90.00 90.00 90.00°
With the nearest neighbours (Å) after each atom.
Element x y z (fractional)
Ho 0.0000 0.6763 0.1763  3 Zn 2.63-2.80, 2 Ni 2.89
Ho 0.0000 0.3237 0.8237  3 Zn 2.63-2.80, 2 Ni 2.89
Ho 0.0000 0.1763 0.3237  3 Zn 2.63-2.80, 2 Ni 2.89
Ho 0.0000 0.8237 0.6763  3 Zn 2.63-2.80, 2 Ni 2.89
Zn 0.0000 0.1223 0.6223  6 Ni 2.36-2.50, 1 Ho 2.63
Zn 0.0000 0.8777 0.3777  6 Ni 2.36-2.50, 1 Ho 2.63
Zn 0.0000 0.6223 0.8777  6 Ni 2.36-2.50, 1 Ho 2.63
Zn 0.0000 0.3777 0.1223  6 Ni 2.36-2.50, 1 Ho 2.63
Fe 0.0000 0.0000 0.0000  8 Ni 2.55
Fe 0.0000 0.5000 0.5000  8 Ni 2.55
Ni 0.5000 0.1945 0.0557  2 Zn 2.50, 2 Fe 2.55, 2 Ni 2.64
Ni 0.5000 0.8055 0.9443  2 Zn 2.50, 2 Fe 2.55, 2 Ni 2.64
Ni 0.5000 0.0557 0.8055  2 Zn 2.50, 2 Fe 2.55, 2 Ni 2.64
Ni 0.5000 0.6945 0.4443  2 Zn 2.50, 2 Fe 2.55, 2 Ni 2.64
Ni 0.5000 0.9443 0.1945  2 Zn 2.50, 2 Fe 2.55, 2 Ni 2.64
Ni 0.5000 0.3055 0.5557  2 Zn 2.50, 2 Fe 2.55, 2 Ni 2.64
Ni 0.5000 0.5557 0.6945  2 Zn 2.50, 2 Fe 2.55, 2 Ni 2.64
Ni 0.5000 0.4443 0.3055  2 Zn 2.50, 2 Fe 2.55, 2 Ni 2.64
Ni 0.5000 0.5000 0.0000  4 Zn 2.36
Ni 0.5000 0.0000 0.5000  4 Zn 2.36